# 1
This record from Alexandria describes a geometry-optimized BaZnBiO4 structure. The functional is PBE.

Geometry as extended XYZ:
```
14
Lattice="6.0040 0.0000 0.0000 0.0000 5.9333 0.0000 -2.6801 0.0000 6.8346" Properties=species:S:1:pos:R:3 pbc="T T T"
Ba 0.0634 1.4833 3.0577
Ba 3.2605 4.4500 3.7769
Zn 0.9701 4.4500 1.1678
Zn 2.3538 1.4833 5.6668
Bi -0.7514 1.4833 6.6310
Bi 4.0752 4.4500 0.2036
O -0.1065 1.4833 0.5665
O -0.6691 4.4500 2.2450
O 2.3888 3.0389 1.3609
O 2.3888 5.8611 1.3609
O 0.9351 0.0723 5.4737
O 0.9351 2.8944 5.4737
O 3.9929 1.4833 4.5896
O 3.4304 4.4500 6.2681
```

Output
The total energy is -0.394 Ry/atom. As for the density of states at the Fermi level: 6.80 states/eV per cell. As for the space-group type: No. 11. For the formation energy (no corrections), the calculation gives -1.51 eV/atom. The mass density comes out at 6.49 g/cm3.

# 2
This record from Alexandria describes a geometry-optimized V4AuC structure. The functional is PBE.

Geometry as extended XYZ:
```
6
Lattice="3.3060 -1.9111 0.0000 3.3060 1.9111 0.0000 -2.2103 0.0000 6.7689" Properties=species:S:1:pos:R:3 pbc="T T T"
V -0.0043 0.0000 1.9046
V 2.2033 0.0000 0.5172
V 2.1983 0.0000 6.2518
V 4.4060 0.0000 4.8643
Au 2.2008 0.0000 3.3845
C 0.0000 0.0000 0.0000
```

Output
The total energy is -0.583 Ry/atom. As for the density of states at the Fermi level: 5.63 states/eV per cell. As for the space-group type: No. 12. The formation energy is 0.227 eV per atom. The mass density comes out at 8.01 g/cm3.

# 3
This record from Alexandria describes a geometry-optimized Ba2Os structure. The functional is PBE.

Geometry as extended XYZ:
```
6
Lattice="-1.8716 1.8716 16.4445 1.8716 -1.8716 16.4445 1.8716 1.8716 -16.4445" Properties=species:S:1:pos:R:3 pbc="T T T"
Ba 1.8716 0.9358 2.2710
Ba 1.8716 0.9358 5.9512
Ba 0.0000 0.9358 10.4932
Ba 0.0000 0.9358 14.1735
Os 1.8716 -0.9358 12.3333
Os 0.0000 2.8074 4.1111
```

Output
The total energy is -0.318 Ry/atom. The energy above the most stable polymorph in this dataset comes out at 473 meV/atom. As for the density of states at the Fermi level: 6.15 states/eV per cell. As for the space-group type: No. 141. The formation energy is 0.694 eV per atom. The mass density comes out at 6.70 g/cm3.

# 4
This record from Alexandria describes a geometry-optimized Cr2TeIr structure. The functional is PBE.

Geometry as extended XYZ:
```
4
Lattice="4.4960 0.0000 0.0000 0.0000 4.4960 0.0000 0.0000 0.0000 2.9278" Properties=species:S:1:pos:R:3 pbc="T T T"
Cr 0.0000 2.2480 0.0000
Cr 2.2480 0.0000 0.0000
Te 0.0000 0.0000 1.4639
Ir 2.2480 2.2480 1.4639
```

Output
The total energy is -0.542 Ry/atom. As for the density of states at the Fermi level: 4.66 states/eV per cell. As for the space-group type: No. 123. For the formation energy (no corrections), the calculation gives 0.44 eV/atom. The mass density comes out at 11.89 g/cm3.

# 5
This record from Alexandria describes a geometry-optimized TiMnN3 structure. The functional is PBE.

Geometry as extended XYZ:
```
5
Lattice="3.6197 0.0000 0.0000 0.0000 3.6197 0.0000 0.0000 0.0000 3.6197" Properties=species:S:1:pos:R:3 pbc="T T T"
Ti 0.0000 0.0000 0.0000
Mn 1.8099 1.8099 1.8099
N 0.0000 1.8099 1.8099
N 1.8099 0.0000 1.8099
N 1.8099 1.8099 0.0000
```

Output
The total energy is -0.592 Ry/atom. As for the density of states at the Fermi level: 5.50 states/eV per cell. As for the space-group type: No. 221. For the formation energy (no corrections), the calculation gives 0.35 eV/atom. The mass density comes out at 5.07 g/cm3.

# 6
This record from Alexandria describes a geometry-optimized SrTc2RhO8 structure. The functional is PBE.

Geometry as extended XYZ:
```
12
Lattice="5.7948 0.0000 0.0000 -2.8974 5.0184 0.0000 0.0000 0.0000 6.8800" Properties=species:S:1:pos:R:3 pbc="T T T"
Sr 0.0000 0.0000 0.0000
Tc 0.0000 3.3456 5.3353
Tc 2.8974 1.6728 1.5447
Rh 0.0000 0.0000 3.4400
O -0.0394 1.6165 4.8336
O -1.4778 4.2443 4.8336
O 1.3802 0.8424 2.0464
O 0.0000 3.3456 0.2112
O 2.8974 1.6728 6.6688
O 1.5172 4.1761 4.8336
O 4.3752 0.7741 2.0464
O 2.9368 3.4020 2.0464
```

Output
The total energy is -0.531 Ry/atom. As for the density of states at the Fermi level: 5.29 states/eV per cell. As for the space-group type: No. 147. For the formation energy (no corrections), the calculation gives -1.44 eV/atom. The mass density comes out at 4.27 g/cm3.

# 7
This record from Alexandria describes a geometry-optimized Hf2NbCoC structure. The functional is PBE.

Geometry as extended XYZ:
```
5
Lattice="4.4042 0.0000 0.0000 0.0000 4.4042 0.0000 0.0000 0.0000 4.2534" Properties=species:S:1:pos:R:3 pbc="T T T"
Hf 0.0000 2.2021 0.0000
Hf 2.2021 0.0000 0.0000
Nb 0.0000 0.0000 2.1267
Co 2.2021 2.2021 2.1267
C 0.0000 0.0000 0.0000
```

Output
The total energy is -0.690 Ry/atom. As for the density of states at the Fermi level: 7.00 states/eV per cell. As for the space-group type: No. 123. The formation energy is -0.128 eV per atom. The mass density comes out at 10.48 g/cm3.

# 8
This record from Alexandria describes a geometry-optimized LaTb2DyHo5 structure. The functional is PBE.

Geometry as extended XYZ:
```
18
Lattice="-4.4431 4.4431 7.4469 4.4431 -4.4431 7.4469 4.4431 4.4431 -7.4469" Properties=species:S:1:pos:R:3 pbc="T T T"
La 0.0000 0.0000 3.7235
La 0.0000 0.0000 11.1704
Tb 5.4540 1.0108 0.0000
Tb 1.0108 3.4323 0.0000
Tb 3.4323 1.0108 7.4469
Tb -1.0108 3.4323 7.4469
Dy 4.4431 0.0000 3.7235
Dy 0.0000 4.4431 3.7235
Ho 0.0000 0.0000 0.0000
Ho 2.6176 1.8256 -1.9632
Ho 2.6176 -1.8256 5.4837
Ho 2.6176 1.8256 1.9632
Ho 2.6176 -1.8256 9.4101
Ho 0.0000 0.0000 7.4469
Ho 1.8256 6.2687 -1.9632
Ho 1.8256 2.6176 5.4837
Ho 1.8256 6.2687 1.9632
Ho 1.8256 2.6176 9.4101
```

Output
The total energy is -0.320 Ry/atom. As for the density of states at the Fermi level: 22.24 states/eV per cell. As for the space-group type: No. 140. The formation energy is 0.280 eV per atom. The mass density comes out at 8.15 g/cm3.